Entry from Alexandria via LeMat-Bulk: crystalline ScAsPb2 at its relaxed geometry (PBE).

a b c (Å): 5.2548 5.2548 5.2548
angles (deg): 60.00 60.00 60.00
Fractional coordinates of all 4 atoms:
Sc1 0.0000 0.0000 0.0000
As1 0.2500 0.2500 0.2500
Pb1 0.5000 0.5000 0.5000
Pb2 0.7500 0.7500 0.7500

Computed properties:
As for the total magnetization: 0.00 μB/f.u. As for the crystal system: cubic. The electronic total energy comes out at -4.64 eV per atom. The formation energy comes out at -0.042 eV per atom.

=====

Entry from Alexandria via LeMat-Bulk: crystalline Al2ReOs at its relaxed geometry (PBE).

a b c (Å): 4.7681 4.7681 4.7681
angles (deg): 132.48 132.48 69.47
Fractional coordinates of all 4 atoms:
Al1 0.0000 0.0000 0.0000
Al2 0.7500 0.2500 0.5000
Re1 0.5000 0.5000 0.0000
Os1 0.2500 0.7500 0.5000

Computed properties:
As for the total magnetization: 0.00 μB/f.u. As for the crystal system: tetragonal. The electronic total energy comes out at -7.87 eV per atom. As for the relative energy among the computed polymorphs: 157 meV/atom. The formation energy comes out at -0.076 eV per atom.

=====

Entry from Alexandria via LeMat-Bulk: crystalline AgIrRh at its relaxed geometry (PBE).

a b c (Å): 6.4485 6.4485 6.4485
angles (deg): 155.32 155.32 35.19
Fractional coordinates of all 3 atoms:
Ag1 0.0000 0.0000 0.0000
Ir1 0.3214 0.3214 0.0000
Rh1 0.6775 0.6775 0.0000

Computed properties:
As for the total magnetization: 0.00 μB/f.u. As for the crystal system: tetragonal. The electronic total energy comes out at -6.13 eV per atom. As for the relative energy among the computed polymorphs: 39 meV/atom. The formation energy comes out at 0.228 eV per atom.

=====

Entry from Alexandria via LeMat-Bulk: crystalline Na2SnAsPd6 at its relaxed geometry (PBE).

a b c (Å): 6.6746 6.6799 6.6875
angles (deg): 60.04 60.10 90.00
Fractional coordinates of all 10 atoms:
Na1 0.1977 0.3000 0.3982
Na2 0.8023 0.7000 0.6018
Sn1 0.5000 0.0000 0.0000
As1 0.0000 0.5000 0.0000
Pd1 0.1605 0.1766 0.9571
Pd2 0.3246 0.8658 0.7937
Pd3 0.3650 0.6602 0.5152
Pd4 0.6350 0.3398 0.4848
Pd5 0.6754 0.1342 0.2063
Pd6 0.8395 0.8234 0.0429

Computed properties:
As for the total magnetization: 0.00 μB/f.u. As for the crystal system: triclinic. The electronic total energy comes out at -4.55 eV per atom. The formation energy comes out at -0.303 eV per atom.

=====

Entry from Alexandria via LeMat-Bulk: crystalline TeH3I at its relaxed geometry (PBE).

a b c (Å): 4.1533 4.1533 4.1533
angles (deg): 90.00 90.00 90.00
Fractional coordinates of all 5 atoms:
Te1 0.0000 0.0000 0.0000
H1 0.0000 0.0000 0.5000
H2 0.0000 0.5000 0.0000
H3 0.5000 0.0000 0.0000
I1 0.5000 0.5000 0.5000

Computed properties:
As for the total magnetization: 0.00 μB/f.u. As for the crystal system: cubic. The electronic total energy comes out at -2.41 eV per atom. As for the relative energy among the computed polymorphs: 441 meV/atom.

=====

Entry from Alexandria via LeMat-Bulk: crystalline AlNiSb2 at its relaxed geometry (PBE).

a b c (Å): 3.0830 3.7190 7.2894
angles (deg): 90.00 95.83 90.00
Fractional coordinates of all 4 atoms:
Al1 0.0000 0.0000 0.0000
Ni1 0.5000 0.0000 0.5000
Sb1 0.2838 0.5000 0.7221
Sb2 0.7162 0.5000 0.2779

Computed properties:
As for the total magnetization: 0.00 μB/f.u. As for the crystal system: monoclinic. The electronic total energy comes out at -4.25 eV per atom.

=====

| no. | DOS at the Fermi energy (states/eV/f.u.) | theoretical density (Mg/m³) |
| --- | --- | --- |
| 1 | 3.2 | 8.65 |
| 2 | 4.2 | 12.36 |
| 3 | 3.3 | 14.33 |
| 4 | 3.4 | 6.90 |
| 5 | 0.8 | 5.97 |
| 6 | 2.4 | 6.57 |